A geometry-optimized Si4AgAu structure. Source: the Alexandria database, functional PBEsol.

The structure in CIF format:
```
data_Si4AgAu
_chemical_formula_sum 'Si16 Ag4 Au4'
_cell_length_a 7.260
_cell_length_b 7.260
_cell_length_c 7.260
_cell_angle_alpha 90.00
_cell_angle_beta 90.00
_cell_angle_gamma 90.00
_symmetry_space_group_name_H-M 'F -4 3 m'
_symmetry_Int_Tables_number 216
_symmetry_space_group_name_Hall 'F -4 2 3'
loop_
_atom_site_label
_atom_site_fract_x
_atom_site_fract_y
_atom_site_fract_z
Si1 0.125 0.125 0.125
Ag1 0.000 0.000 0.500
Au1 0.250 0.250 0.750
```

Summary:
The density of states at the Fermi level comes out at 2.6 states/eV/f.u. For the total energy, the calculation gives -4.579 eV/atom. The calculation puts the energy relative to the elements, uncorrected at 0.458 eV per atom. For the mass density, the calculation gives 7.2 g/cm3.

=====

A geometry-optimized SiAgAu2 structure. Source: the Alexandria database, functional PBEsol.

The structure in CIF format:
```
data_SiAgAu2
_chemical_formula_sum 'Si1 Ag1 Au2'
_cell_length_a 4.127
_cell_length_b 4.127
_cell_length_c 3.827
_cell_angle_alpha 90.00
_cell_angle_beta 90.00
_cell_angle_gamma 90.00
_symmetry_space_group_name_H-M 'P 4/m m m'
_symmetry_Int_Tables_number 123
_symmetry_space_group_name_Hall '-P 4 2'
loop_
_atom_site_label
_atom_site_fract_x
_atom_site_fract_y
_atom_site_fract_z
Si1 0.000 0.000 0.000
Ag1 0.500 0.500 0.000
Au1 0.000 0.500 0.500
```

Summary:
The density of states at the Fermi level comes out at 1.2 states/eV/f.u. For the total energy, the calculation gives -4.136 eV/atom. The calculation puts the energy relative to the elements, uncorrected at 0.091 eV per atom. For the mass density, the calculation gives 13.5 g/cm3.

=====

A geometry-optimized SiAgAu2 structure. Source: the Alexandria database, functional PBEsol.

The structure in CIF format:
```
data_SiAgAu2
_chemical_formula_sum 'Si2 Ag2 Au4'
_cell_length_a 5.708
_cell_length_b 7.520
_cell_length_c 3.050
_cell_angle_alpha 90.00
_cell_angle_beta 90.00
_cell_angle_gamma 90.00
_symmetry_space_group_name_H-M 'C m m m'
_symmetry_Int_Tables_number 65
_symmetry_space_group_name_Hall '-C 2 2'
loop_
_atom_site_label
_atom_site_fract_x
_atom_site_fract_y
_atom_site_fract_z
Si1 0.000 0.000 0.000
Ag1 0.000 0.500 0.000
Au1 0.250 0.250 0.500
```

Summary:
The density of states at the Fermi level comes out at 1.4 states/eV/f.u. For the total energy, the calculation gives -4.142 eV/atom. The calculation puts the energy relative to the elements, uncorrected at 0.084 eV per atom. For the mass density, the calculation gives 13.4 g/cm3.

=====

A geometry-optimized SiAg2TeAu structure. Source: the Alexandria database, functional PBEsol.

The structure in CIF format:
```
data_SiAg2TeAu
_chemical_formula_sum 'Si1 Ag2 Te1 Au1'
_cell_length_a 4.841
_cell_length_b 4.841
_cell_length_c 4.658
_cell_angle_alpha 90.00
_cell_angle_beta 90.00
_cell_angle_gamma 90.00
_symmetry_space_group_name_H-M 'P 4/m m m'
_symmetry_Int_Tables_number 123
_symmetry_space_group_name_Hall '-P 4 2'
loop_
_atom_site_label
_atom_site_fract_x
_atom_site_fract_y
_atom_site_fract_z
Si1 0.000 0.000 0.000
Ag1 0.000 0.500 0.000
Te1 0.500 0.500 0.500
Au1 0.000 0.000 0.500
```

Summary:
The density of states at the Fermi level comes out at 3.9 states/eV/f.u. For the total energy, the calculation gives -3.502 eV/atom. The calculation puts the energy relative to the elements, uncorrected at 0.461 eV per atom. For the mass density, the calculation gives 8.6 g/cm3.

=====

Question: Among the records above, which one has the highest mass density?
Answer: number 2